LiCa2AsF | PBE-GGA | relaxed

Results
ΔE_f (raw): -1063 meV per atom
Crystal system: tetragonal
ρ: 2.0 g/cm³

a = 5.6148 Å, b = 5.6148 Å, c = 4.6681 Å
α = 90.00°, β = 90.00°, γ = 90.00°
Space group P4/mmm (No. 123)
One atom of each set of equivalent atoms:
Li 0.0000 0.0000 0.0000
Ca 0.0000 0.5000 0.5000
As 0.0000 0.0000 0.5000
F 0.5000 0.5000 0.0000

***

KNaSb2Pt2 | PBE-GGA | relaxed

Results
ΔE_f (raw): -472 meV per atom
Crystal system: trigonal
ρ: 7.5 g/cm³

a = 4.6820 Å, b = 4.6820 Å, c = 8.0667 Å
α = 90.00°, β = 90.00°, γ = 120.00°
Space group P-3m1 (No. 164)
One atom of each set of equivalent atoms:
K 0.0000 0.0000 0.0000
Na 0.0000 0.0000 0.5000
Sb 0.3333 0.6667 0.3116
Pt 0.3333 0.6667 0.6570

***

SmScZnTc | PBE-GGA | relaxed

Results
Energy: -0.213 Ha/atom
Crystal system: cubic
ρ: 7.4 g/cm³

a = 6.8451 Å, b = 6.8451 Å, c = 6.8451 Å
α = 90.00°, β = 90.00°, γ = 90.00°
Space group F-43m (No. 216)
One atom of each set of equivalent atoms:
Sm 0.0000 0.0000 0.0000
Sc 0.0000 0.0000 0.5000
Zn 0.2500 0.2500 0.2500
Tc 0.2500 0.2500 0.7500

***

Sc2InCl | PBE-GGA | relaxed

Results
Distance to the lowest polymorph of the same formula: 504.3 meV/atom
ΔE_f (raw): -269 meV per atom
Crystal system: tetragonal
ρ: 3.5 g/cm³

a = 5.6471 Å, b = 5.6471 Å, c = 14.2552 Å
α = 90.00°, β = 90.00°, γ = 90.00°
Space group I-42d (No. 122)
One atom of each set of equivalent atoms:
Sc 0.1972 0.2500 0.1250
In 0.0000 0.0000 0.5000
Cl 0.0000 0.0000 0.0000

***

Zr2RhPb | PBE-GGA | relaxed

Results
Energy: -0.269 Ha/atom
Crystal system: trigonal
ρ: 8.9 g/cm³

a = 3.5748 Å, b = 3.5748 Å, c = 25.0027 Å
α = 90.00°, β = 90.00°, γ = 120.00°
Space group R-3m (No. 166, hexagonal axes)
One atom of each set of equivalent atoms:
Zr 0.0000 0.0000 0.2330
Rh 0.0000 0.0000 0.5000
Pb 0.0000 0.0000 0.0000

***

NaSr3Br | PBE-GGA | relaxed

Results
Distance to the lowest polymorph of the same formula: 390.4 meV/atom
ΔE_f (raw): 15 meV per atom
Crystal system: cubic
ρ: 2.1 g/cm³

a = 6.5895 Å, b = 6.5895 Å, c = 6.5895 Å
α = 90.00°, β = 90.00°, γ = 90.00°
Space group Pm-3m (No. 221)
One atom of each set of equivalent atoms:
Na 0.0000 0.0000 0.0000
Sr 0.0000 0.0000 0.5000
Br 0.5000 0.5000 0.5000

***

ρ of number 5 (Zr2RhPb)?
8.9 g/cm³

***

Which formula does entry 2 have?
KNaSb2Pt2